Entry from Alexandria via LeMat-Bulk: a geometry-optimized SmAlMo structure (PBE).

Uncorrected energy, eV/cell: -57.9
Mass density, Mg/m³: 6.81
Fermi-level density of states, states/eV/cell: 9.663
Formation energy, meV per atom: 2.8

Cell lengths 4.7848, 6.9437, 6.9437 Å; angles 120.00, 90.00, 90.00 degrees
Fractional coordinates of all 9 atoms:
1 Mo 0.5000 0.7940 0.0000
2 Mo 0.5000 0.2060 0.2060
3 Mo 0.5000 0.0000 0.7940
4 Al 0.5000 0.3333 0.6667
5 Al 0.5000 0.6667 0.3333
6 Al 0.0000 0.0000 0.0000
7 Sm 0.0000 0.5592 0.5592
8 Sm 0.0000 0.4408 0.0000
9 Sm 0.0000 0.0000 0.4408


Entry from Alexandria via LeMat-Bulk: a geometry-optimized DyIn2Au2 structure (PBE).

Uncorrected energy, eV/cell: -38.7
Mass density, Mg/m³: 10.93
Fermi-level density of states, states/eV/cell: 2.310
Formation energy, meV per atom: -539.5

Cell lengths 4.9021, 4.9391, 9.8607 Å; angles 89.97, 90.00, 90.00 degrees
Fractional coordinates of all 10 atoms:
1 Au 0.7500 0.7510 0.1559
2 Au 0.2500 0.2490 0.8441
3 Au 0.2500 0.2502 0.4845
4 Au 0.7500 0.7498 0.5155
5 Dy 0.2500 0.7505 0.3247
6 Dy 0.7500 0.2495 0.6753
7 In 0.7500 0.2509 0.0094
8 In 0.2500 0.7491 0.9906
9 In 0.2500 0.7495 0.6723
10 In 0.7500 0.2505 0.3277


Entry from Alexandria via LeMat-Bulk: a geometry-optimized Pr6Os2Cl3O structure (PBE).

ΔE_f (raw), eV/atom: -1.202
Uncorrected energy, eV/cell: -76.1
Mass density, Mg/m³: 7.09
Fermi-level density of states, states/eV/cell: 8.607

Cell lengths 6.9431, 6.9431, 7.9217 Å; angles 98.47, 98.47, 120.04 degrees
Fractional coordinates of all 12 atoms:
1 Cl 0.1690 0.8310 0.5000
2 Cl 0.5000 0.5000 0.5000
3 Cl 0.8310 0.1690 0.5000
4 O 0.0000 0.0000 0.0000
5 Pr 0.0671 0.3872 0.1999
6 Pr 0.7490 0.7490 0.1982
7 Pr 0.9329 0.6128 0.8001
8 Pr 0.3872 0.0671 0.1999
9 Pr 0.2510 0.2510 0.8018
10 Pr 0.6128 0.9329 0.8001
11 Os 0.3335 0.6665 0.0000
12 Os 0.6665 0.3335 0.0000


Entry from Alexandria via LeMat-Bulk: a geometry-optimized Pb2Br structure (PBE).

E above lowest polymorph, meV per atom: 221
ΔE_f (raw), eV/atom: -0.053
Uncorrected energy, eV/cell: -18.5
Mass density, Mg/m³: 8.12
Fermi-level density of states, states/eV/cell: 2.658

Cell lengths 11.9712, 11.9712, 11.9712 Å; angles 159.91, 159.91, 28.56 degrees
Fractional coordinates of all 6 atoms:
1 Pb 0.4301 0.4301 0.0000
2 Pb 0.3199 0.8199 0.5000
3 Pb 0.1801 0.6801 0.5000
4 Pb 0.5699 0.5699 0.0000
5 Br 0.0000 0.0000 0.0000
6 Br 0.7500 0.2500 0.5000


Entry from Alexandria via LeMat-Bulk: a geometry-optimized UIr2Rh2 structure (PBE).

E above lowest polymorph, meV per atom: 0
Uncorrected energy, eV/cell: -44.4
Mass density, Mg/m³: 15.66
Fermi-level density of states, states/eV/cell: 9.476
Formation energy, meV per atom: -143.2

Cell lengths 3.7526, 3.7526, 6.7794 Å; angles 106.07, 106.07, 90.00 degrees
Each line ends with the local moment (μB).
Fractional coordinates of all 5 atoms:
1 U 0.0000 0.0000 0.0000  0.08
2 Ir 0.5999 0.5999 0.1998  -0.01
3 Ir 0.4001 0.4001 0.8002  -0.01
4 Rh 0.7500 0.2500 0.5000  0.00
5 Rh 0.2500 0.7500 0.5000  0.00


Entry from Alexandria via LeMat-Bulk: a geometry-optimized KLa2Nd3Te6 structure (PBE).

ΔE_f (raw), eV/atom: -1.467
Uncorrected energy, eV/cell: -61.7
Mass density, Mg/m³: 6.16
Fermi-level density of states, states/eV/cell: 5.267

Cell lengths 4.5362, 9.2653, 10.2648 Å; angles 103.50, 102.77, 90.00 degrees
Fractional coordinates of all 12 atoms:
1 Te 0.6722 0.0797 0.3444
2 Te 0.3278 0.9203 0.6556
3 Te 0.0011 0.2613 0.0022
4 Te 0.6648 0.5836 0.3296
5 Te 0.3352 0.4164 0.6704
6 Te 0.9989 0.7387 0.9978
7 Nd 0.8374 0.1785 0.6749
8 Nd 0.1626 0.8215 0.3251
9 Nd 0.5000 0.5000 0.0000
10 La 0.8322 0.6627 0.6644
11 La 0.1678 0.3373 0.3356
12 K 0.5000 0.0000 0.0000


Entry from Alexandria via LeMat-Bulk: a geometry-optimized Ca5CuAg4 structure (PBE).

Uncorrected energy, eV/cell: -28.1
Mass density, Mg/m³: 4.57
Fermi-level density of states, states/eV/cell: 6.594
Formation energy, meV per atom: -262.2

Cell lengths 3.7143, 3.7143, 18.3099 Å; angles 90.00, 90.00, 90.00 degrees
Fractional coordinates of all 10 atoms:
1 Ca 0.5000 0.5000 0.0943
2 Ca 0.5000 0.5000 0.9057
3 Ca 0.5000 0.5000 0.5000
4 Ca 0.5000 0.5000 0.2974
5 Ca 0.5000 0.5000 0.7026
6 Ag 0.0000 0.0000 0.6014
7 Ag 0.0000 0.0000 0.8044
8 Ag 0.0000 0.0000 0.3986
9 Ag 0.0000 0.0000 0.1956
10 Cu 0.0000 0.0000 0.0000


Entry from Alexandria via LeMat-Bulk: a geometry-optimized HoCdSnHg structure (PBE).

E above lowest polymorph, meV per atom: 0
Uncorrected energy, eV/cell: -11.4
Mass density, Mg/m³: 10.27
Fermi-level density of states, states/eV/cell: 1.258
Formation energy, meV per atom: -410.8

Cell lengths 4.5543, 4.3613, 4.8583 Å; angles 90.00, 90.00, 90.00 degrees
Fractional coordinates of all 4 atoms:
1 Sn 0.0000 0.5000 0.5000
2 Ho 0.5000 0.0000 0.5000
3 Hg 0.5000 0.5000 0.0000
4 Cd 0.0000 0.0000 0.0000


> Among the records above, which one has the highest uncorrected energy?

HoCdSnHg